No. 1
8
Lattice="3.304 0.000 0.000 0.000 6.807 0.000 0.000 0.000 6.517" Properties=species:S:1:pos:R:3 comment="GaHgPO | the Open Quantum Materials Database | PBE-GGA | relaxed" de_polymorph_ev_per_atom=0.1789 spacegroup=Pmc2_1 vol_a3_per_atom=18.322 pbc="T T T"
Ga 0.000 1.283 0.000
Ga 0.000 5.524 3.258
Hg 1.652 2.334 3.614
Hg 1.652 4.473 0.356
P 0.000 0.871 2.317
P 0.000 5.936 5.575
O 1.652 2.185 6.040
O 1.652 4.622 2.782

---

No. 2
8
Lattice="3.902 0.000 0.000 0.000 6.608 0.000 0.000 0.000 5.899" Properties=species:S:1:pos:R:3 comment="GaHgPO | the Open Quantum Materials Database | PBE-GGA | relaxed" de_polymorph_ev_per_atom=0.0000 spacegroup=Pmc2_1 vol_a3_per_atom=19.010 pbc="T T T"
Ga 0.000 0.852 0.000
Ga 0.000 5.756 2.949
Hg 1.951 2.172 2.730
Hg 1.951 4.437 5.679
P 1.951 1.958 5.215
P 1.951 4.650 2.266
O 0.000 0.757 1.919
O 0.000 5.851 4.868

---

No. 3
8
Lattice="4.283 0.000 0.000 0.000 4.283 0.000 0.000 0.000 8.715" Properties=species:S:1:pos:R:3 comment="GaHgPO | the Open Quantum Materials Database | PBE-GGA | relaxed" de_polymorph_ev_per_atom=0.6264 spacegroup=P4/nmm vol_a3_per_atom=19.982 pbc="T T T"
Ga 1.071 3.212 0.000
Ga 3.212 1.071 0.000
Hg 1.071 1.071 3.673
Hg 3.212 3.212 5.042
P 1.071 1.071 7.411
P 3.212 3.212 1.303
O 1.071 3.212 4.357
O 3.212 1.071 4.357

---

No. 4
16
Lattice="6.198 0.000 0.000 0.000 8.516 0.000 0.000 0.000 5.951" Properties=species:S:1:pos:R:3 comment="GaHgSO | the Open Quantum Materials Database | PBE-GGA | relaxed" de_polymorph_ev_per_atom=0.3385 spacegroup=Pca2_1 vol_a3_per_atom=19.635 pbc="T T T"
Ga 0.441 1.073 0.000
Ga 2.659 1.073 2.976
Ga 3.540 7.443 0.000
Ga 5.758 7.443 2.976
Hg 0.923 4.686 5.471
Hg 2.176 4.686 2.495
Hg 4.023 3.830 5.471
Hg 5.275 3.830 2.495
S 0.409 0.988 3.601
S 2.690 0.988 0.625
S 3.508 7.528 3.601
S 5.789 7.528 0.625
O 0.223 5.840 3.466
O 2.876 5.840 0.490
O 3.322 2.676 3.466
O 5.976 2.676 0.490

---

No. 5
8
Lattice="3.928 0.000 0.000 0.000 3.928 0.000 0.000 0.000 10.217" Properties=species:S:1:pos:R:3 comment="GaHgSO | the Open Quantum Materials Database | PBE-GGA | relaxed" de_polymorph_ev_per_atom=0.3302 spacegroup=P4/nmm vol_a3_per_atom=19.706 pbc="T T T"
Ga 0.982 0.982 0.737
Ga 2.946 2.946 9.480
Hg 0.982 2.946 5.109
Hg 2.946 0.982 5.109
S 0.982 0.982 2.951
S 2.946 2.946 7.266
O 0.982 2.946 0.000
O 2.946 0.982 0.000

---

No. 6
16
Lattice="5.812 0.000 0.000 0.000 5.239 0.000 -2.775 0.000 11.314" Properties=species:S:1:pos:R:3 comment="GaHgSO | the Open Quantum Materials Database | PBE-GGA | relaxed" de_polymorph_ev_per_atom=0.0000 spacegroup=P2_1 vol_a3_per_atom=21.528 pbc="T T T"
Ga -0.860 0.000 4.828
Ga 1.002 2.577 4.755
Ga 2.034 5.196 6.559
Ga 3.896 2.619 6.485
Hg 1.193 0.138 0.025
Hg 0.081 1.540 8.902
Hg 2.956 4.159 2.412
Hg 1.844 2.757 11.289
S -1.646 3.137 8.617
S 1.257 2.519 2.569
S 1.780 5.138 8.745
S 4.682 0.517 2.697
O -0.615 3.431 5.340
O 0.726 0.842 5.505
O 2.311 3.462 5.808
O 3.652 0.811 5.974

---

No. 7
8
Lattice="3.607 0.000 0.000 0.000 8.195 0.000 0.000 0.000 5.499" Properties=species:S:1:pos:R:3 comment="GaHgSO | the Open Quantum Materials Database | PBE-GGA | relaxed" de_polymorph_ev_per_atom=0.1415 spacegroup=Pmc2_1 vol_a3_per_atom=20.317 pbc="T T T"
Ga 0.000 0.968 0.000
Ga 0.000 7.227 2.749
Hg 1.803 2.518 2.970
Hg 1.803 5.677 0.221
S 1.803 2.441 0.273
S 1.803 5.754 3.023
O 0.000 0.567 3.703
O 0.000 7.628 0.954

---

No. 8
16
Lattice="7.201 0.000 0.000 0.000 6.484 0.000 -0.293 0.000 5.738" Properties=species:S:1:pos:R:3 comment="GaHgSO | the Open Quantum Materials Database | PBE-GGA | relaxed" de_polymorph_ev_per_atom=0.2294 spacegroup=P2_1/c vol_a3_per_atom=16.744 pbc="T T T"
Ga 0.076 0.830 1.598
Ga -0.071 2.412 4.467
Ga 6.978 4.072 1.271
Ga 6.832 5.654 4.140
Hg 2.873 4.557 5.594
Hg 3.020 5.168 2.725
Hg 3.888 1.315 3.013
Hg 4.035 1.927 0.144
S 1.333 0.572 5.475
S 1.480 2.670 2.606
S 5.428 3.813 3.132
S 5.574 5.912 0.263
O 0.433 4.183 5.244
O 0.580 5.543 2.374
O 6.328 0.941 3.364
O 6.475 2.301 0.495

---

No. 9
8
Lattice="4.101 0.000 0.000 0.000 8.809 0.000 0.000 0.000 5.819" Properties=species:S:1:pos:R:3 comment="GaHgTeO | the Open Quantum Materials Database | PBE-GGA | relaxed" de_polymorph_ev_per_atom=0.0000 spacegroup=Pmc2_1 vol_a3_per_atom=26.278 pbc="T T T"
Ga 0.000 0.875 0.000
Ga 0.000 7.934 2.910
Hg 2.051 2.533 3.247
Hg 2.051 6.276 0.337
Te 2.051 2.594 0.347
Te 2.051 6.215 3.257
O 0.000 0.570 4.006
O 0.000 8.239 1.097

---

No. 10
8
Lattice="4.020 0.000 0.000 0.000 4.020 0.000 0.000 0.000 9.901" Properties=species:S:1:pos:R:3 comment="GaHgTeO | the Open Quantum Materials Database | PBE-GGA | relaxed" de_polymorph_ev_per_atom=0.4058 spacegroup=P4/nmm vol_a3_per_atom=20.000 pbc="T T T"
Ga 1.005 1.005 0.812
Ga 3.015 3.015 9.090
Hg 1.005 3.015 4.951
Hg 3.015 1.005 4.951
Te 1.005 1.005 7.150
Te 3.015 3.015 2.751
O 1.005 3.015 0.000
O 3.015 1.005 0.000

---

No. 11
4
Lattice="0.000 3.320 3.320 3.320 0.000 3.320 3.320 3.320 0.000" Properties=species:S:1:pos:R:3 comment="GaHg2Os | the Open Quantum Materials Database | PBE-GGA | relaxed" energy_ev_per_atom=-2.94 spacegroup=F-43m vol_a3_per_atom=18.301 pbc="T T T"
Ga 0.000 0.000 0.000
Hg 3.320 3.320 3.320
Hg 4.980 4.980 4.980
Os 1.660 1.660 1.660

---

No. 12
4
Lattice="0.000 3.188 3.188 3.188 0.000 3.188 3.188 3.188 0.000" Properties=species:S:1:pos:R:3 comment="GaHgOs2 | the Open Quantum Materials Database | PBE-GGA | relaxed" energy_ev_per_atom=-5.59 spacegroup=F-43m vol_a3_per_atom=16.193 pbc="T T T"
Ga 0.000 0.000 0.000
Hg 1.594 1.594 1.594
Os 3.188 3.188 3.188
Os 4.781 4.781 4.781

---

What is the formula in the sixth record?
GaHgSO